[1]
Material: TbBS2
Method: DFT, PBE
State: optimized geometry

The structure in extended XYZ format:
```
4
Lattice="-3.141 0.795 0.496 -1.586 -1.150 2.628 0.631 6.081 5.085" Properties=species:S:1:pos:R:3 pbc="T T T"
Tb 0.000 0.000 0.000
B -2.049 2.863 4.104
S -3.954 1.819 4.542
S -0.143 3.907 3.667
```

Summary:
The value obtained for the magnetization is 0.000 μB per atom. As for the total energy: -19.14 eV/cell. The calculation puts the uncorrected formation energy at 105 meV per atom. As for the volume: 71.9 Å³ per cell.

[2]
Material: Ag6PdCl12
Method: DFT, PBE
State: optimized geometry

The structure in extended XYZ format:
```
19
Lattice="-4.175 -6.542 0.149 3.489 -1.626 -6.741 5.751 -2.815 4.389" Properties=species:S:1:pos:R:3 pbc="T T T"
Pd 0.000 0.000 0.000
Ag 4.091 -2.951 0.533
Ag -0.303 -5.013 0.710
Ag 0.975 -8.032 -2.735
Ag 3.629 -7.620 1.311
Ag 5.368 -5.970 -2.912
Ag 1.437 -3.364 -3.514
Cl 2.254 -4.443 1.343
Cl 2.310 -7.291 3.614
Cl 0.023 -4.849 -1.765
Cl 5.934 -3.844 2.251
Cl -0.868 -7.139 -4.454
Cl -1.921 -7.140 0.622
Cl 1.585 -7.792 -0.121
Cl 2.811 -6.540 -3.545
Cl 3.480 -3.191 -2.081
Cl 6.986 -3.843 -2.825
Cl 5.042 -6.134 -0.438
Cl 2.756 -3.692 -5.816
```

Summary:
The value obtained for the magnetization is 0.000 μB per atom. As for the total energy: -51.96 eV/cell. The calculation puts the uncorrected formation energy at -395 meV per atom. As for the volume: 462.7 Å³ per cell.

[3]
Material: La2Nd12Er5
Method: DFT, PBE
State: optimized geometry

The structure in extended XYZ format:
```
19
Lattice="9.548 0.000 0.000 -4.774 10.456 -1.943 0.000 -4.783 7.540" Properties=species:S:1:pos:R:3 pbc="T T T"
Nd 1.835 -1.999 6.534
Nd 0.000 0.572 1.515
Nd 2.395 5.000 1.613
Nd -2.939 7.671 -0.936
Nd -2.395 5.000 1.613
Nd 4.774 -1.295 2.724
Nd 0.000 6.967 2.873
Nd 2.939 7.671 -0.936
Nd 7.169 0.673 3.984
Nd 4.774 5.100 4.082
Nd 2.379 0.673 3.984
Nd 7.714 -1.999 6.534
La 6.465 0.000 0.000
La 3.084 0.000 0.000
Er 0.000 -2.392 3.770
Er 4.774 -0.268 6.604
Er 4.774 2.375 1.778
Er 0.000 3.297 3.820
Er 0.000 5.940 -1.006
```

Summary:
Its distance to the lowest polymorph of the same formula is 1.361 eV per formula unit. The value obtained for the magnetization is 0.000 μB per atom. As for the total energy: -86.17 eV/cell. The calculation puts the formation enthalpy at 0 K at 195.6 meV per atom. As for the volume: 664.0 Å³ per cell.

[4]
Material: HoTmSn6
Method: DFT, PBE
State: optimized geometry

The structure in extended XYZ format:
```
8
Lattice="4.784 0.000 0.000 0.000 4.784 0.000 0.000 0.000 9.078" Properties=species:S:1:pos:R:3 pbc="T T T"
Sn 2.392 0.000 2.257
Sn 2.392 0.000 6.821
Sn 2.392 2.392 4.539
Sn 0.000 2.392 6.821
Sn 2.392 2.392 0.000
Sn 0.000 2.392 2.257
Tm 0.000 0.000 0.000
Ho 0.000 0.000 4.539
```

Summary:
The value obtained for the magnetization is 0.000 μB per atom. As for the total energy: -36.16 eV/cell. The calculation puts the formation enthalpy at 0 K at -386.7 meV per atom. As for the volume: 207.8 Å³ per cell.

Repeat the second record exactly.
Material: Ag6PdCl12
Method: DFT, PBE
State: optimized geometry

The structure in extended XYZ format:
```
19
Lattice="-4.175 -6.542 0.149 3.489 -1.626 -6.741 5.751 -2.815 4.389" Properties=species:S:1:pos:R:3 pbc="T T T"
Pd 0.000 0.000 0.000
Ag 4.091 -2.951 0.533
Ag -0.303 -5.013 0.710
Ag 0.975 -8.032 -2.735
Ag 3.629 -7.620 1.311
Ag 5.368 -5.970 -2.912
Ag 1.437 -3.364 -3.514
Cl 2.254 -4.443 1.343
Cl 2.310 -7.291 3.614
Cl 0.023 -4.849 -1.765
Cl 5.934 -3.844 2.251
Cl -0.868 -7.139 -4.454
Cl -1.921 -7.140 0.622
Cl 1.585 -7.792 -0.121
Cl 2.811 -6.540 -3.545
Cl 3.480 -3.191 -2.081
Cl 6.986 -3.843 -2.825
Cl 5.042 -6.134 -0.438
Cl 2.756 -3.692 -5.816
```

Summary:
The value obtained for the magnetization is 0.000 μB per atom. As for the total energy: -51.96 eV/cell. The calculation puts the uncorrected formation energy at -395 meV per atom. As for the volume: 462.7 Å³ per cell.

Q: Which of these has the highest volume?
A: La2Nd12Er5

Copy entry 1 word for word.
Material: TbBS2
Method: DFT, PBE
State: optimized geometry

The structure in extended XYZ format:
```
4
Lattice="-3.141 0.795 0.496 -1.586 -1.150 2.628 0.631 6.081 5.085" Properties=species:S:1:pos:R:3 pbc="T T T"
Tb 0.000 0.000 0.000
B -2.049 2.863 4.104
S -3.954 1.819 4.542
S -0.143 3.907 3.667
```

Summary:
The value obtained for the magnetization is 0.000 μB per atom. As for the total energy: -19.14 eV/cell. The calculation puts the uncorrected formation energy at 105 meV per atom. As for the volume: 71.9 Å³ per cell.